[1]
# CoSi2Ge | Alexandria via LeMat-Bulk | PBE | relaxed
# formation energy without anion corrections = 301 meV/atom
# M_tot = 0.000 Bohr magnetons per cell
# energy = -85.5 eV/cell
data_CoSi2Ge
_chemical_formula_sum 'Co4 Si8 Ge4'
_cell_length_a 5.3933
_cell_length_b 5.3933
_cell_length_c 10.5967
_cell_angle_alpha 90.00
_cell_angle_beta 90.00
_cell_angle_gamma 90.00
_symmetry_space_group_name_H-M 'I -4 2 d'
_symmetry_Int_Tables_number 122
_symmetry_space_group_name_Hall 'I -4 2bw'
loop_
_atom_site_label
_atom_site_type_symbol
_atom_site_fract_x
_atom_site_fract_y
_atom_site_fract_z
Co1 Co 0.0000 0.0000 0.0000
Si1 Si 0.2100 0.2500 0.1250
Ge1 Ge 0.0000 0.0000 0.5000

=====

[2]
# Co3SiGe | Alexandria via LeMat-Bulk | PBE | relaxed
# formation energy without anion corrections = -143 meV/atom
# M_tot = 3.735 Bohr magnetons per cell
# energy = -64.1 eV/cell
# energy above the most stable polymorph in this dataset = 0 kJ/mol of formula units
data_Co3SiGe
_chemical_formula_sum 'Co6 Si2 Ge2'
_cell_length_a 4.2563
_cell_length_b 4.8893
_cell_length_c 5.9659
_cell_angle_alpha 87.29
_cell_angle_beta 70.94
_cell_angle_gamma 88.19
_symmetry_space_group_name_H-M 'P -1'
_symmetry_Int_Tables_number 2
loop_
_symmetry_equiv_pos_as_xyz
'x,y,z'
'-x,-y,-z'
loop_
_atom_site_label
_atom_site_type_symbol
_atom_site_fract_x
_atom_site_fract_y
_atom_site_fract_z
Co1 Co 0.0430 0.2442 0.0141
Co2 Co 0.1868 0.4869 0.6157
Co3 Co 0.3536 0.8413 0.2511
Si1 Si 0.1924 0.0078 0.6348
Ge1 Ge 0.4295 0.3439 0.2020